[1]
The following is a DFT calculation (PBE-GGA) of crystalline La2AlF at its relaxed geometry.

For the formation energy (no corrections), the calculation gives -1013 meV per atom. Its density of states at the Fermi level is 13.322 states/eV per cell. Its total magnetization is 0.0 μB per formula unit.

It has space group Fm-3m (No. 225), with a = 7.4234 Å, b = 7.4234 Å, c = 7.4234 Å, α = 90.00°, β = 90.00° and γ = 90.00°. The inequivalent atoms are La at (0.2500, 0.2500, 0.2500), Al at (0.0000, 0.0000, 0.0000) and F at (0.0000, 0.0000, 0.5000).


[2]
The following is a DFT calculation (PBE-GGA) of crystalline PmDy2Pb at its relaxed geometry.

Its density of states at the Fermi level is 11.127 states/eV per cell. Its total magnetization is 0.0 μB per formula unit. The calculation puts the electronic total energy at -0.1678 hartree per atom.

It has space group R3m (No. 160, hexagonal axes), with a = 3.6175 Å, b = 3.6175 Å, c = 33.1673 Å, α = 90.00°, β = 90.00° and γ = 120.00°. The inequivalent atoms are Pm at (0.0000, 0.0000, 0.0000), Dy at (0.0000, 0.0000, 0.5791), Dy at (0.0000, 0.0000, 0.7547) and Pb at (0.0000, 0.0000, 0.1666).


[3]
The following is a DFT calculation (PBE-GGA) of crystalline Zr4TaZn at its relaxed geometry.

Its density of states at the Fermi level is 36.589 states/eV per cell. Its total magnetization is 0.0 μB per formula unit. The calculation puts the electronic total energy at -0.2713 hartree per atom.

It has space group F-43m (No. 216), with a = 8.0408 Å, b = 8.0408 Å, c = 8.0408 Å, α = 90.00°, β = 90.00° and γ = 90.00°. The inequivalent atoms are Zr at (0.1230, 0.1230, 0.1230), Ta at (0.2500, 0.2500, 0.7500) and Zn at (0.0000, 0.0000, 0.5000).


[4]
The following is a DFT calculation (PBE-GGA) of crystalline LiTcIN2 at its relaxed geometry.

For the formation energy (no corrections), the calculation gives 209 meV per atom. Its density of states at the Fermi level is 2.628 states/eV per cell. Its total magnetization is 0.0 μB per formula unit.

It has space group P4/mmm (No. 123), with a = 3.8713 Å, b = 3.8713 Å, c = 5.9018 Å, α = 90.00°, β = 90.00° and γ = 90.00°. The inequivalent atoms are Li at (0.0000, 0.0000, 0.0000), Tc at (0.5000, 0.5000, 0.5000), I at (0.5000, 0.5000, 0.0000) and N at (0.0000, 0.5000, 0.5000).


[5]
The following is a DFT calculation (PBE-GGA) of crystalline BAu2Cl at its relaxed geometry.

For the formation energy (no corrections), the calculation gives 281 meV per atom. Its density of states at the Fermi level is 0.451 states/eV per cell. Its total magnetization is 0.0 μB per formula unit.

It has space group I-42d (No. 122), with a = 6.1824 Å, b = 6.1824 Å, c = 8.0751 Å, α = 90.00°, β = 90.00° and γ = 90.00°. The inequivalent atoms are B at (0.0000, 0.0000, 0.0000), Au at (0.1645, 0.2500, 0.1250) and Cl at (0.0000, 0.0000, 0.5000).


[6]
The following is a DFT calculation (PBE-GGA) of crystalline KCuW2 at its relaxed geometry.

Its density of states at the Fermi level is 4.305 states/eV per cell. Its total magnetization is 0.0 μB per formula unit. The calculation puts the electronic total energy at -0.2394 hartree per atom.

It has space group P4/mmm (No. 123), with a = 3.2929 Å, b = 3.2929 Å, c = 8.1824 Å, α = 90.00°, β = 90.00° and γ = 90.00°. The inequivalent atoms are K at (0.0000, 0.0000, 0.0000), Cu at (0.0000, 0.0000, 0.5000) and W at (0.5000, 0.5000, 0.3578).


[7]
The following is a DFT calculation (PBE-GGA) of crystalline GaMo2P at its relaxed geometry.

Its density of states at the Fermi level is 21.327 states/eV per cell. Its total magnetization is 0.0 μB per formula unit. The calculation puts the electronic total energy at -0.2763 hartree per atom.

It has space group Fm-3m (No. 225), with a = 6.1350 Å, b = 6.1350 Å, c = 6.1350 Å, α = 90.00°, β = 90.00° and γ = 90.00°. The inequivalent atoms are Ga at (0.0000, 0.0000, 0.0000), Mo at (0.2500, 0.2500, 0.2500) and P at (0.0000, 0.0000, 0.5000).


[8]
The following is a DFT calculation (PBE-GGA) of crystalline InTc2Se at its relaxed geometry.

For the formation energy (no corrections), the calculation gives 416 meV per atom. Its density of states at the Fermi level is 5.315 states/eV per cell. Its total magnetization is 0.0 μB per formula unit.

It has space group P4/mmm (No. 123), with a = 4.5331 Å, b = 4.5331 Å, c = 3.1880 Å, α = 90.00°, β = 90.00° and γ = 90.00°. The inequivalent atoms are In at (0.0000, 0.0000, 0.0000), Tc at (0.0000, 0.5000, 0.5000) and Se at (0.5000, 0.5000, 0.0000).


[9]
The following is a DFT calculation (PBE-GGA) of crystalline Sr2CoIr at its relaxed geometry.

Its density of states at the Fermi level is 10.223 states/eV per cell. Its total magnetization is 1.5 μB per formula unit. The calculation puts the electronic total energy at -0.1542 hartree per atom.

It has space group C2/m (No. 12), with a = 8.1421 Å, b = 3.2097 Å, c = 8.0189 Å, α = 90.00°, β = 97.25° and γ = 90.00°. The inequivalent atoms are Sr at (0.2443, 0.0000, 0.2310), Co at (0.0000, 0.0000, 0.5000) and Ir at (0.0000, 0.5000, 0.0000).


[10]
The following is a DFT calculation (PBE-GGA) of crystalline FeCoRe4 at its relaxed geometry.

Its density of states at the Fermi level is 15.709 states/eV per cell. Its total magnetization is 3.1 μB per formula unit. The calculation puts the electronic total energy at -0.3763 hartree per atom.

It has space group F-43m (No. 216), with a = 7.2027 Å, b = 7.2027 Å, c = 7.2027 Å, α = 90.00°, β = 90.00° and γ = 90.00°. The inequivalent atoms are Fe at (0.0000, 0.0000, 0.0000), Co at (0.2500, 0.2500, 0.2500) and Re at (0.1248, 0.1248, 0.6248).


[11]
The following is a DFT calculation (PBE-GGA) of crystalline LaSb2ICl at its relaxed geometry.

For the formation energy (no corrections), the calculation gives 71 meV per atom. Its density of states at the Fermi level is 6.213 states/eV per cell. Its total magnetization is 1.8 μB per formula unit.

It has space group P4/mmm (No. 123), with a = 6.3061 Å, b = 6.3061 Å, c = 6.1135 Å, α = 90.00°, β = 90.00° and γ = 90.00°. The inequivalent atoms are La at (0.0000, 0.0000, 0.0000), Sb at (0.0000, 0.5000, 0.0000), I at (0.0000, 0.0000, 0.5000) and Cl at (0.5000, 0.5000, 0.5000).


[12]
The following is a DFT calculation (PBE-GGA) of crystalline UV at its relaxed geometry.

Its density of states at the Fermi level is 6.857 states/eV per cell. Its total magnetization is 1.2 μB per formula unit. The calculation puts the electronic total energy at -0.3546 hartree per atom.

It has space group Pm-3m (No. 221), with a = 3.3123 Å, b = 3.3123 Å, c = 3.3123 Å, α = 90.00°, β = 90.00° and γ = 90.00°. The inequivalent atoms are U at (0.0000, 0.0000, 0.0000) and V at (0.5000, 0.5000, 0.5000).


[13]
The following is a DFT calculation (PBE-GGA) of crystalline La8Ge3Te4Cl at its relaxed geometry.

For the formation energy (no corrections), the calculation gives -1400 meV per atom. Its density of states at the Fermi level is 15.583 states/eV per cell. Its total magnetization is 0.0 μB per formula unit.

It has space group R-3m (No. 166, hexagonal axes), with a = 8.9268 Å, b = 8.9268 Å, c = 22.3030 Å, α = 90.00°, β = 90.00° and γ = 120.00°. The inequivalent atoms are La at (0.0000, 0.0000, 0.2422), La at (0.0096, 0.5048, 0.7573), Ge at (0.0000, 0.5000, 0.5000), Te at (0.0000, 0.0000, 0.0000), Te at (0.0000, 0.5000, 0.0000) and Cl at (0.0000, 0.0000, 0.5000).


[14]
The following is a DFT calculation (PBE-GGA) of crystalline Hg2SbAuO at its relaxed geometry.

For the formation energy (no corrections), the calculation gives 279 meV per atom. Its density of states at the Fermi level is 2.314 states/eV per cell. Its total magnetization is 0.0 μB per formula unit.

It has space group P4/mmm (No. 123), with a = 5.7254 Å, b = 5.7254 Å, c = 3.8329 Å, α = 90.00°, β = 90.00° and γ = 90.00°. The inequivalent atoms are Hg at (0.0000, 0.5000, 0.0000), Sb at (0.0000, 0.0000, 0.5000), Au at (0.5000, 0.5000, 0.0000) and O at (0.5000, 0.5000, 0.5000).


[15]
The following is a DFT calculation (PBE-GGA) of crystalline Tc2AgI8 at its relaxed geometry.

For the formation energy (no corrections), the calculation gives 109 meV per atom. Its density of states at the Fermi level is 18.682 states/eV per cell. Its total magnetization is 1.0 μB per formula unit.

It has space group C2/m (No. 12), with a = 13.7803 Å, b = 10.5260 Å, c = 7.3552 Å, α = 90.00°, β = 96.58° and γ = 90.00°. The inequivalent atoms are Tc at (0.2081, 0.0000, 0.1695), Ag at (0.0000, 0.0000, 0.5000), I at (0.1124, 0.5000, 0.7019), I at (0.1188, 0.1848, 0.3051) and I at (0.1797, 0.0000, 0.8213).


[16]
The following is a DFT calculation (PBE-GGA) of crystalline Pu5Ge3As12 at its relaxed geometry.

Its density of states at the Fermi level is 413.303 states/eV per cell. Its total magnetization is 6.7 μB per formula unit. The calculation puts the electronic total energy at -0.2583 hartree per atom.

It has space group Ia-3d (No. 230), with a = 16.5703 Å, b = 16.5703 Å, c = 16.5703 Å, α = 90.00°, β = 90.00° and γ = 90.00°. The inequivalent atoms are Pu at (0.0000, 0.0000, 0.0000), Pu at (0.0000, 0.2500, 0.3750), Ge at (0.0000, 0.2500, 0.1250) and As at (0.0435, 0.0979, 0.6356).


[17]
The following is a DFT calculation (PBE-GGA) of crystalline CuHgSCl at its relaxed geometry.

For the formation energy (no corrections), the calculation gives -255 meV per atom. Its density of states at the Fermi level is 2.334 states/eV per cell. Its total magnetization is 0.0 μB per formula unit.

It has space group Cm (No. 8), with a = 6.7776 Å, b = 3.9088 Å, c = 8.2388 Å, α = 90.00°, β = 106.92° and γ = 90.00°. The inequivalent atoms are Cu at (0.0000, 0.0000, 0.0000), Hg at (0.4431, 0.0000, 0.3202), S at (0.3355, 0.0000, 0.0073) and Cl at (0.1797, 0.0000, 0.5151).


[18]
The following is a DFT calculation (PBE-GGA) of crystalline BaBe2PdN at its relaxed geometry.

For the formation energy (no corrections), the calculation gives 484 meV per atom. Its density of states at the Fermi level is 2.831 states/eV per cell. Its total magnetization is 0.0 μB per formula unit.

It has space group P4/mmm (No. 123), with a = 4.2786 Å, b = 4.2786 Å, c = 4.7842 Å, α = 90.00°, β = 90.00° and γ = 90.00°. The inequivalent atoms are Ba at (0.0000, 0.0000, 0.0000), Be at (0.0000, 0.5000, 0.5000), Pd at (0.5000, 0.5000, 0.5000) and N at (0.5000, 0.5000, 0.0000).


[19]
The following is a DFT calculation (PBE-GGA) of crystalline Pm4RuO at its relaxed geometry.

For the formation energy (no corrections), the calculation gives -941 meV per atom. Its density of states at the Fermi level is 20.242 states/eV per cell. Its total magnetization is 0.0 μB per formula unit.

It has space group C2/c (No. 15), with a = 8.0300 Å, b = 14.0518 Å, c = 6.4400 Å, α = 90.00°, β = 124.82° and γ = 90.00°. The inequivalent atoms are Pm at (0.1531, 0.2014, 0.1615), Pm at (0.2487, 0.4553, 0.2741), Ru at (0.0000, 0.3795, 0.7500) and O at (0.0000, 0.0596, 0.2500).


[20]
The following is a DFT calculation (PBE-GGA) of crystalline Ac2Ni3As4Ir at its relaxed geometry.

Its density of states at the Fermi level is 4.634 states/eV per cell. Its total magnetization is 0.0 μB per formula unit. The calculation puts the electronic total energy at -0.2231 hartree per atom.

It has space group P-4m2 (No. 115), with a = 4.3528 Å, b = 4.3528 Å, c = 9.8515 Å, α = 90.00°, β = 90.00° and γ = 90.00°. The inequivalent atoms are Ac at (0.0000, 0.5000, 0.2475), Ni at (0.0000, 0.5000, 0.8874), Ni at (0.5000, 0.5000, 0.5000), As at (0.0000, 0.0000, 0.0000), As at (0.0000, 0.5000, 0.6331), As at (0.5000, 0.5000, 0.0000) and Ir at (0.0000, 0.0000, 0.5000).